3
Lattice="4.313 0.011 0.007 2.498 3.516 0.007 2.498 1.293 3.269" Properties=species:S:1:pos:R:3 comment="Cu2Se (PBE, relaxed)" crystal_system=trigonal e_form_raw_ev_per_atom=0.0247 pbc="T T T"
Cu 5.167 2.675 1.823
Cu 7.246 3.752 2.556
Se 9.307 4.819 3.283

=====

12
Lattice="-0.661 -2.977 -5.621 5.662 -2.319 0.507 -2.923 -6.328 3.695" Properties=species:S:1:pos:R:3 comment="NaMn2BiCl8 (PBE, relaxed)" crystal_system=monoclinic e_form_raw_ev_per_atom=-1.1436 pbc="T T T"
Cl 1.392 -1.672 -1.762
Cl 2.128 -6.772 -1.494
Cl 0.120 -4.547 -3.540
Cl 3.439 -3.869 0.247
Cl 3.609 -3.625 -3.353
Cl -0.050 -4.852 0.073
Cl -1.361 -7.755 -1.667
Cl 1.958 -7.077 2.120
Na -1.461 -3.164 1.847
Mn 0.349 -7.306 0.162
Mn 1.729 -4.319 -1.582
Bi 0.000 0.000 0.000

=====

12
Lattice="4.304 0.000 0.000 0.000 7.530 0.000 0.000 0.000 8.326" Properties=species:S:1:pos:R:3 comment="NdCd4Cu (PBE, relaxed)" crystal_system=orthorhombic ef_kj_per_mol_atoms=-19.3 pbc="T T T"
Cd 2.152 0.457 2.081
Cd 2.152 5.176 0.490
Cd 0.000 0.000 0.000
Cd 2.152 2.354 4.653
Cd 2.152 2.354 7.836
Cd 0.000 0.000 4.163
Cd 2.152 5.176 3.673
Cd 2.152 7.073 6.244
Nd 0.000 4.591 6.244
Nd 0.000 2.939 2.081
Cu 0.000 1.617 6.244
Cu 0.000 5.912 2.081

=====

30
Lattice="6.429 1.489 -0.293 1.489 6.429 0.293 -1.534 1.534 24.465" Properties=species:S:1:pos:R:3 comment="Tb2Dy12Er (PBE, relaxed)" crystal_system=monoclinic ef_kj_per_mol_atoms=11.5 pbc="T T T"
Dy 2.858 5.138 16.414
Dy 4.473 3.696 1.706
Dy 1.039 2.920 21.445
Dy 4.684 7.192 14.143
Dy 2.163 6.007 22.758
Dy 1.456 6.527 13.788
Dy 5.303 6.573 3.724
Dy 2.878 4.722 19.531
Dy 4.381 3.285 22.465
Dy 3.861 3.991 13.494
Dy 2.458 5.395 10.970
Dy 5.976 2.260 4.641
Dy 3.604 4.392 8.051
Dy 0.683 3.276 14.048
Dy 5.039 6.837 20.741
Dy 1.387 2.572 3.020
Dy 1.742 2.217 10.417
Dy 0.726 7.510 19.824
Dy 1.751 5.915 2.000
Dy 5.658 6.218 10.322
Dy 5.250 2.590 16.121
Dy 1.056 6.784 8.344
Dy 4.993 2.990 10.677
Dy 3.188 4.412 4.934
Tb 3.615 8.261 17.851
Tb 6.728 5.149 6.614
Tb 2.715 1.243 6.600
Tb -0.290 4.249 17.865
Er 4.721 7.155 0.498
Er 5.621 6.255 23.967

=====

12
Lattice="-2.180 -4.231 -2.816 0.694 -5.288 1.464 -7.573 -2.118 4.562" Properties=species:S:1:pos:R:3 comment="LaCe2Tc9 (PBE, relaxed)" crystal_system=monoclinic ef_kj_per_mol_atoms=3.8 pbc="T T T"
Ce -4.501 -9.068 0.784
Ce -4.558 -2.569 2.426
Tc -8.009 -5.453 4.032
Tc -2.591 -4.538 0.620
Tc -5.444 -5.022 4.148
Tc -4.529 -5.819 1.605
Tc -2.076 -7.180 1.354
Tc -6.983 -4.457 1.856
Tc -6.468 -7.099 2.590
Tc -3.615 -6.615 -0.938
Tc -1.049 -6.184 -0.822
La 0.000 0.000 0.000

=====

14
Lattice="-4.865 -2.868 3.305 3.453 -6.272 -4.678 5.225 3.069 6.035" Properties=species:S:1:pos:R:3 comment="Sm3In4 (PBE, relaxed)" crystal_system=trigonal ef_kj_per_mol_atoms=-45.9 de_polymorph_ev_per_atom=0.000 pbc="T T T"
Sm -2.395 -4.625 1.886
Sm 0.649 -6.922 0.055
Sm 3.260 -4.188 1.953
Sm 0.553 -1.884 2.710
Sm 3.164 0.851 4.608
Sm 6.208 -1.447 2.776
In 0.000 0.000 0.000
In 0.485 -0.965 5.843
In 3.328 -5.106 -1.180
In 0.396 -3.667 0.071
In 3.279 -0.727 1.525
In 0.534 -5.344 3.138
In 3.417 -2.405 4.591
In -2.433 -1.434 1.653